Entry 1:
{
  "formula": "Cs3SbO4",
  "functional": "PBEsol",
  "state": "relaxed",
  "e_form_raw_kj_per_mol_fu": -1211,
  "total_energy_ev_per_atom": -5.12,
  "cell": [[12.7877, 0.0000, 0.0000], [0.0000, 9.1414, 0.0000], [0.0000, 0.0000, 6.8080]],
  "species": ["Cs", "Cs", "Cs", "Cs", "Cs", "Cs", "Cs", "Cs", "Cs", "Cs", "Cs", "Cs", "Sb", "Sb", "Sb", "Sb", "O", "O", "O", "O", "O", "O", "O", "O", "O", "O", "O", "O", "O", "O", "O", "O"],
  "frac_coords": [[0.0744, 0.2500, 0.1492], [0.1480, 0.0071, 0.7057], [0.1480, 0.4929, 0.7057], [0.3520, 0.5071, 0.2057], [0.3520, 0.9929, 0.2057], [0.4256, 0.7500, 0.6492], [0.5744, 0.2500, 0.3508], [0.6480, 0.0071, 0.7943], [0.6480, 0.4929, 0.7943], [0.8520, 0.5071, 0.2943], [0.8520, 0.9929, 0.2943], [0.9256, 0.7500, 0.8508], [0.1112, 0.7500, 0.2777], [0.3888, 0.2500, 0.7777], [0.6112, 0.7500, 0.2223], [0.8888, 0.2500, 0.7223], [0.0093, 0.2500, 0.5570], [0.1113, 0.5791, 0.1178], [0.1113, 0.9209, 0.1178], [0.2330, 0.7500, 0.4396], [0.2670, 0.2500, 0.9396], [0.3887, 0.0791, 0.6178], [0.3887, 0.4209, 0.6178], [0.4907, 0.7500, 0.0570], [0.5093, 0.2500, 0.9430], [0.6113, 0.5791, 0.3822], [0.6113, 0.9209, 0.3822], [0.7330, 0.7500, 0.0604], [0.7670, 0.2500, 0.5604], [0.8887, 0.0791, 0.8822], [0.8887, 0.4209, 0.8822], [0.9907, 0.7500, 0.4430]]
}



Entry 2:
{
  "formula": "CsSbO2",
  "functional": "PBEsol",
  "state": "relaxed",
  "e_form_raw_kj_per_mol_fu": -589,
  "total_energy_ev_per_atom": -5.53,
  "cell": [[4.0351, -4.9111, 0.0000], [4.0351, 4.9111, 0.0000], [-2.9770, 0.0000, 4.7218]],
  "species": ["Cs", "Cs", "Sb", "Sb", "O", "O", "O", "O"],
  "frac_coords": [[0.1487, 0.8513, 0.7500], [0.8513, 0.1487, 0.2500], [0.4182, 0.5818, 0.2500], [0.5818, 0.4182, 0.7500], [0.2825, 0.3689, 0.7969], [0.3689, 0.2825, 0.2969], [0.6311, 0.7175, 0.7031], [0.7175, 0.6311, 0.2031]]
}



Entry 3:
{
  "formula": "CsSiSbO5",
  "functional": "PBEsol",
  "state": "relaxed",
  "e_form_raw_kj_per_mol_fu": -1641,
  "total_energy_ev_per_atom": -6.81,
  "cell": [[19.7886, 0.0000, 0.0000], [0.0000, 5.1066, 5.1065], [0.0000, -5.1066, 5.1065]],
  "species": ["Cs", "Cs", "Cs", "Cs", "Cs", "Cs", "Cs", "Cs", "Si", "Si", "Si", "Si", "Si", "Si", "Si", "Si", "Sb", "Sb", "Sb", "Sb", "Sb", "Sb", "Sb", "Sb", "O", "O", "O", "O", "O", "O", "O", "O", "O", "O", "O", "O", "O", "O", "O", "O", "O", "O", "O", "O", "O", "O", "O", "O", "O", "O", "O", "O", "O", "O", "O", "O", "O", "O", "O", "O", "O", "O", "O", "O"],
  "frac_coords": [[0.0000, 0.0000, 0.0000], [0.1120, 0.4989, 0.9998], [0.2500, 0.5278, 0.4998], [0.3880, 0.4989, 0.9998], [0.5000, 0.0000, 0.0000], [0.6120, 0.9998, 0.4989], [0.7500, 0.4998, 0.5278], [0.8880, 0.9998, 0.4989], [0.1692, 0.9999, 0.2251], [0.1693, 0.9999, 0.7735], [0.3308, 0.9999, 0.2251], [0.3307, 0.9999, 0.7735], [0.6692, 0.2251, 0.9999], [0.6693, 0.7735, 0.9999], [0.8308, 0.2251, 0.9999], [0.8307, 0.7735, 0.9999], [0.0662, 0.2522, 0.4995], [0.0656, 0.7480, 0.4995], [0.4338, 0.2522, 0.4995], [0.4344, 0.7480, 0.4995], [0.5662, 0.4995, 0.2522], [0.5656, 0.4995, 0.7480], [0.9338, 0.4995, 0.2522], [0.9344, 0.4995, 0.7480], [0.0000, 0.2999, 0.2999], [0.0000, 0.7003, 0.7003], [0.0005, 0.3000, 0.7005], [0.0312, 0.0003, 0.4997], [0.1063, 0.5004, 0.4989], [0.1359, 0.1901, 0.3035], [0.1360, 0.1903, 0.6949], [0.1355, 0.8098, 0.3037], [0.1357, 0.8097, 0.6947], [0.1595, 0.0002, 0.9993], [0.2500, 0.9969, 0.2692], [0.2500, 0.9971, 0.7294], [0.3405, 0.0002, 0.9993], [0.3641, 0.1901, 0.3035], [0.3640, 0.1903, 0.6949], [0.3645, 0.8098, 0.3037], [0.3643, 0.8097, 0.6947], [0.3937, 0.5004, 0.4989], [0.4688, 0.0003, 0.4997], [0.4995, 0.3000, 0.7005], [0.5000, 0.2999, 0.2999], [0.5000, 0.7003, 0.7003], [0.5005, 0.7005, 0.3000], [0.5312, 0.4997, 0.0003], [0.6063, 0.4989, 0.5004], [0.6359, 0.3035, 0.1901], [0.6355, 0.3037, 0.8098], [0.6360, 0.6949, 0.1903], [0.6357, 0.6947, 0.8097], [0.6595, 0.9993, 0.0002], [0.7500, 0.2692, 0.9969], [0.7500, 0.7294, 0.9971], [0.8405, 0.9993, 0.0002], [0.8641, 0.3035, 0.1901], [0.8645, 0.3037, 0.8098], [0.8640, 0.6949, 0.1903], [0.8643, 0.6947, 0.8097], [0.8937, 0.4989, 0.5004], [0.9688, 0.4997, 0.0003], [0.9995, 0.7005, 0.3000]]
}



Entry 4:
{
  "formula": "CsV2SbO8",
  "functional": "PBEsol",
  "state": "relaxed",
  "e_form_raw_kj_per_mol_fu": -2406,
  "total_energy_ev_per_atom": -7.64,
  "cell": [[5.6228, 0.0000, 0.0000], [0.0000, 16.3934, 0.0000], [-5.5631, 0.0000, 8.5098]],
  "species": ["Cs", "Cs", "Cs", "Cs", "V", "V", "V", "V", "V", "V", "V", "V", "Sb", "Sb", "Sb", "Sb", "O", "O", "O", "O", "O", "O", "O", "O", "O", "O", "O", "O", "O", "O", "O", "O", "O", "O", "O", "O", "O", "O", "O", "O", "O", "O", "O", "O", "O", "O", "O", "O"],
  "frac_coords": [[0.2249, 0.2212, 0.4917], [0.2249, 0.2788, 0.9917], [0.7751, 0.7212, 0.0083], [0.7751, 0.7788, 0.5083], [0.2996, 0.6092, 0.5441], [0.2996, 0.8908, 0.0441], [0.4092, 0.5788, 0.1367], [0.4092, 0.9212, 0.6367], [0.5908, 0.0788, 0.3633], [0.5908, 0.4212, 0.8633], [0.7004, 0.1092, 0.9559], [0.7004, 0.3908, 0.4559], [0.0167, 0.0473, 0.7571], [0.0167, 0.4527, 0.2571], [0.9833, 0.5473, 0.7429], [0.9833, 0.9527, 0.2429], [0.1487, 0.6813, 0.4162], [0.1487, 0.8187, 0.9162], [0.1790, 0.6110, 0.9399], [0.1790, 0.8890, 0.4399], [0.1841, 0.6164, 0.6741], [0.1841, 0.8836, 0.1741], [0.2142, 0.5136, 0.4589], [0.2142, 0.9864, 0.9589], [0.2357, 0.5097, 0.1838], [0.2357, 0.9903, 0.6838], [0.2778, 0.0385, 0.3371], [0.2778, 0.4615, 0.8371], [0.3294, 0.1283, 0.8534], [0.3294, 0.3717, 0.3534], [0.4782, 0.6616, 0.2373], [0.4782, 0.8384, 0.7373], [0.5218, 0.1616, 0.2627], [0.5218, 0.3384, 0.7627], [0.6706, 0.6283, 0.6466], [0.6706, 0.8717, 0.1466], [0.7222, 0.5385, 0.1629], [0.7222, 0.9615, 0.6629], [0.7643, 0.0097, 0.3162], [0.7643, 0.4903, 0.8162], [0.7858, 0.0136, 0.0411], [0.7858, 0.4864, 0.5411], [0.8159, 0.1164, 0.8259], [0.8159, 0.3836, 0.3259], [0.8210, 0.1110, 0.5601], [0.8210, 0.3890, 0.0601], [0.8513, 0.1813, 0.0838], [0.8513, 0.3187, 0.5838]]
}



Entry 5:
{
  "formula": "CsSbWO6",
  "functional": "PBEsol",
  "state": "relaxed",
  "e_form_raw_kj_per_mol_fu": -1686,
  "total_energy_ev_per_atom": -7.59,
  "cell": [[-3.6190, 5.1634, 3.6957], [3.6190, -5.1634, 3.6957], [3.6190, 5.1634, -3.6957]],
  "species": ["Cs", "Cs", "Sb", "Sb", "W", "W", "O", "O", "O", "O", "O", "O", "O", "O", "O", "O", "O", "O"],
  "frac_coords": [[0.1276, 0.2500, 0.3776], [0.8724, 0.7500, 0.6224], [0.5110, 0.0110, 0.5000], [0.5110, 0.5110, 0.0000], [0.4837, 0.9899, 0.9938], [0.9961, 0.4899, 0.0062], [0.1910, 0.3814, 0.9371], [0.1910, 0.7539, 0.3097], [0.1952, 0.7546, 0.9406], [0.4358, 0.2614, 0.6744], [0.4442, 0.2539, 0.0629], [0.4442, 0.8814, 0.6903], [0.5726, 0.1382, 0.3081], [0.5726, 0.7645, 0.9344], [0.5870, 0.7614, 0.3256], [0.8141, 0.2546, 0.0594], [0.8301, 0.2645, 0.6919], [0.8301, 0.6382, 0.0656]]
}



Entry 6:
{
  "formula": "Cs3ScO3",
  "functional": "PBEsol",
  "state": "relaxed",
  "e_form_raw_kj_per_mol_fu": -1368,
  "total_energy_ev_per_atom": -5.62,
  "relative_energy_mev_per_atom": 2,
  "cell": [[7.6870, 0.0000, 0.0000], [0.0000, 14.1640, 0.0000], [-3.1906, 0.0000, 6.4540]],
  "species": ["Cs", "Cs", "Cs", "Cs", "Cs", "Cs", "Cs", "Cs", "Cs", "Cs", "Cs", "Cs", "Sc", "Sc", "Sc", "Sc", "O", "O", "O", "O", "O", "O", "O", "O", "O", "O", "O", "O"],
  "frac_coords": [[0.0228, 0.1854, 0.4164], [0.0228, 0.3146, 0.9164], [0.2278, 0.0407, 0.9900], [0.2278, 0.4593, 0.4900], [0.4416, 0.7028, 0.6506], [0.4416, 0.7972, 0.1506], [0.5584, 0.2028, 0.8494], [0.5584, 0.2972, 0.3494], [0.7722, 0.5407, 0.5100], [0.7722, 0.9593, 0.0100], [0.9772, 0.6854, 0.0836], [0.9772, 0.8146, 0.5836], [0.3480, 0.5589, 0.0131], [0.3480, 0.9411, 0.5131], [0.6520, 0.0589, 0.4869], [0.6520, 0.4411, 0.9869], [0.1506, 0.6293, 0.7811], [0.1506, 0.8707, 0.2811], [0.3402, 0.5969, 0.2701], [0.3402, 0.9031, 0.7701], [0.3840, 0.0811, 0.4713], [0.3840, 0.4189, 0.9713], [0.6160, 0.5811, 0.0287], [0.6160, 0.9189, 0.5287], [0.6598, 0.0969, 0.2299], [0.6598, 0.4031, 0.7299], [0.8494, 0.1293, 0.7189], [0.8494, 0.3707, 0.2189]]
}



| no. | total moment (μB per atom) |
| --- | --- |
| 1 | 0.0002 |
| 2 | 0.0000 |
| 3 | 0.0000 |
| 4 | 0.0000 |
| 5 | 0.0000 |
| 6 | 0.0054 |